# PrTmGa4

PrTmGa4 after structural relaxation (PBE, Alexandria via LeMat-Bulk).

```
6
Lattice="-3.2264 0.0704 -2.7640 -5.1918 -0.9828 2.7694 -1.7324 5.6019 -1.1011" Properties=species:S:1:pos:R:3 pbc="T T T"
Pr -0.8662 2.8009 -0.5505
Tm -2.5959 -0.4914 1.3847
Ga -6.1782 2.7650 -0.8827
Ga -3.9724 1.9244 -0.2130
Ga -7.4136 4.2745 0.5978
Ga -2.7370 0.4149 -1.6935
```

## Properties
E: -4.192 eV/atom
Distance to the lowest polymorph of the same formula: 8.3 meV/atom
ΔH_f (0 K): -0.6324 eV/atom
Theoretical density: 7.5 g/cm3
Magnetization: 0.000 μB per formula unit

=====

# PrTmGa4

PrTmGa4 after structural relaxation (PBE, Alexandria via LeMat-Bulk).

```
6
Lattice="-2.1757 3.1126 -4.0799 -2.4797 -2.4463 -4.3513 -5.5310 0.3320 -0.6046" Properties=species:S:1:pos:R:3 pbc="T T T"
Pr 0.0000 0.0000 0.0000
Tm -2.5466 0.2495 -2.2590
Ga -3.6030 0.4579 -5.3440
Ga -5.1266 1.8452 -3.4732
Ga -6.3647 0.6237 -5.6459
Ga -5.2783 -0.9304 -3.6087
```

## Properties
E: -4.083 eV/atom
Distance to the lowest polymorph of the same formula: 117.9 meV/atom
ΔH_f (0 K): -0.5228 eV/atom
Theoretical density: 8.0 g/cm3
Magnetization: 0.000 μB per formula unit